A relaxed structure of ErTm3. Source: Alexandria via LeMat-Bulk, functional PBE.

Summary:
* energy relative to the elements: -5 meV/atom
* total magnetic moment: 0.0 μB per formula unit
* N(E_F): 6.25 states/eV/cell
* offset from the most stable computed form: 0 meV per atom
* crystal system: orthorhombic

Unit cell a=3.563 b=5.515 c=6.169 alpha=90.00 beta=90.00 gamma=90.00
Atoms (fractional coordinates):
Er (0.000, 0.000, 0.000)
Tm (0.000, 0.500, 0.334)
Tm (0.500, 0.000, 0.500)
Tm (0.500, 0.500, 0.834)

A relaxed structure of ErTm2. Source: Alexandria via LeMat-Bulk, functional PBE.

Summary:
* energy relative to the elements: 268 meV/atom
* total magnetic moment: 0.1 μB per formula unit
* N(E_F): 10.42 states/eV/cell
* offset from the most stable computed form: 269 meV per atom
* crystal system: cubic

Unit cell a=6.457 b=6.457 c=6.457 alpha=60.00 beta=60.00 gamma=60.00
Atoms (fractional coordinates):
Er (0.125, 0.125, 0.125)
Er (0.875, 0.875, 0.875)
Tm (0.000, 0.500, 0.500)
Tm (0.500, 0.000, 0.500)
Tm (0.500, 0.500, 0.000)
Tm (0.500, 0.500, 0.500)

A relaxed structure of ErTm2. Source: Alexandria via LeMat-Bulk, functional PBE.

Summary:
* energy relative to the elements: -1 meV/atom
* total magnetic moment: 0.0 μB per formula unit
* N(E_F): 3.84 states/eV/cell
* offset from the most stable computed form: 0 meV per atom
* crystal system: trigonal

Unit cell a=8.628 b=8.628 c=8.628 alpha=23.53 beta=23.53 gamma=23.53
Atoms (fractional coordinates):
Er (0.000, 0.000, 0.000)
Tm (0.222, 0.222, 0.222)
Tm (0.778, 0.778, 0.778)

A relaxed structure of Er3Tm. Source: Alexandria via LeMat-Bulk, functional PBE.

Summary:
* energy relative to the elements: 26 meV/atom
* total magnetic moment: 0.0 μB per formula unit
* N(E_F): 5.72 states/eV/cell
* offset from the most stable computed form: 29 meV per atom
* crystal system: tetragonal

Unit cell a=6.053 b=6.053 c=6.053 alpha=131.87 beta=131.87 gamma=70.43
Atoms (fractional coordinates):
Er (0.000, 0.000, 0.000)
Er (0.250, 0.750, 0.500)
Er (0.750, 0.250, 0.500)
Tm (0.500, 0.500, 0.000)

A relaxed structure of ErTm8. Source: Alexandria via LeMat-Bulk, functional PBE.

Summary:
* energy relative to the elements: 27 meV/atom
* total magnetic moment: 0.0 μB per formula unit
* N(E_F): 11.92 states/eV/cell
* crystal system: tetragonal

Unit cell a=7.792 b=7.792 c=7.792 alpha=95.72 beta=95.72 gamma=143.20
Atoms (fractional coordinates):
Er (0.000, 0.000, 0.000)
Tm (0.000, 0.333, 0.333)
Tm (0.000, 0.667, 0.667)
Tm (0.333, 0.000, 0.333)
Tm (0.333, 0.333, 0.666)
Tm (0.333, 0.667, 0.000)
Tm (0.667, 0.000, 0.667)
Tm (0.667, 0.333, 0.000)
Tm (0.667, 0.667, 0.334)

A relaxed structure of ErTm4. Source: Alexandria via LeMat-Bulk, functional PBE.

Summary:
* energy relative to the elements: 772 meV/atom
* total magnetic moment: 0.0 μB per formula unit
* N(E_F): 6.89 states/eV/cell
* offset from the most stable computed form: 743 meV per atom
* crystal system: cubic

Unit cell a=5.552 b=5.552 c=5.552 alpha=90.00 beta=90.00 gamma=90.00
Atoms (fractional coordinates):
Er (0.000, 0.000, 0.000)
Tm (0.000, 0.000, 0.500)
Tm (0.000, 0.500, 0.000)
Tm (0.500, 0.000, 0.000)
Tm (0.500, 0.500, 0.500)

A relaxed structure of Er2Tm. Source: Alexandria via LeMat-Bulk, functional PBE.

Summary:
* energy relative to the elements: 25 meV/atom
* total magnetic moment: 0.0 μB per formula unit
* N(E_F): 8.38 states/eV/cell
* offset from the most stable computed form: 0 meV per atom
* crystal system: monoclinic

Unit cell a=6.048 b=6.048 c=6.983 alpha=106.83 beta=106.83 gamma=48.20
Atoms (fractional coordinates):
Er (0.000, 0.000, 0.250)
Er (0.000, 0.000, 0.750)
Er (0.333, 0.333, 0.916)
Er (0.667, 0.667, 0.084)
Tm (0.333, 0.333, 0.417)
Tm (0.667, 0.667, 0.583)

A relaxed structure of Er5Tm7. Source: Alexandria via LeMat-Bulk, functional PBE.

Summary:
* energy relative to the elements: 204 meV/atom
* total magnetic moment: 0.0 μB per formula unit
* N(E_F): 19.58 states/eV/cell
* offset from the most stable computed form: 197 meV per atom
* crystal system: monoclinic

Unit cell a=5.500 b=5.500 c=14.446 alpha=100.97 beta=100.97 gamma=60.35
Atoms (fractional coordinates):
Er (0.000, 0.000, 0.000)
Er (0.145, 0.145, 0.440)
Er (0.392, 0.392, 0.191)
Er (0.608, 0.608, 0.809)
Er (0.855, 0.855, 0.560)
Tm (0.065, 0.065, 0.213)
Tm (0.228, 0.228, 0.674)
Tm (0.309, 0.309, 0.923)
Tm (0.500, 0.500, 0.500)
Tm (0.691, 0.691, 0.077)
Tm (0.772, 0.772, 0.326)
Tm (0.935, 0.935, 0.787)

A relaxed structure of Er3Tm. Source: Alexandria via LeMat-Bulk, functional PBE.

Summary:
* energy relative to the elements: -2 meV/atom
* total magnetic moment: 0.0 μB per formula unit
* N(E_F): 6.50 states/eV/cell
* offset from the most stable computed form: 1 meV per atom
* crystal system: orthorhombic

Unit cell a=6.590 b=6.590 c=6.590 alpha=148.54 beta=65.58 gamma=124.08
Atoms (fractional coordinates):
Er (0.000, 0.000, 0.000)
Er (0.417, 0.667, 0.750)
Er (0.917, 0.667, 0.250)
Tm (0.499, 0.999, 0.500)

A relaxed structure of Er2Tm. Source: Alexandria via LeMat-Bulk, functional PBE.

Summary:
* energy relative to the elements: 261 meV/atom
* total magnetic moment: 0.0 μB per formula unit
* N(E_F): 9.04 states/eV/cell
* offset from the most stable computed form: 237 meV per atom
* crystal system: cubic

Unit cell a=6.459 b=6.459 c=6.459 alpha=60.00 beta=60.00 gamma=60.00
Atoms (fractional coordinates):
Er (0.000, 0.000, 0.000)
Er (0.000, 0.000, 0.500)
Er (0.000, 0.500, 0.000)
Er (0.500, 0.000, 0.000)
Tm (0.375, 0.375, 0.375)
Tm (0.625, 0.625, 0.625)

A relaxed structure of ErTm2. Source: Alexandria via LeMat-Bulk, functional PBE.

Summary:
* energy relative to the elements: 27 meV/atom
* total magnetic moment: 0.0 μB per formula unit
* N(E_F): 3.94 states/eV/cell
* offset from the most stable computed form: 28 meV per atom
* crystal system: tetragonal

Unit cell a=7.824 b=7.824 c=7.824 alpha=154.29 beta=154.29 gamma=36.68
Atoms (fractional coordinates):
Er (0.000, 0.000, 0.000)
Tm (0.333, 0.333, 0.000)
Tm (0.667, 0.667, 0.000)

A relaxed structure of ErTm. Source: Alexandria via LeMat-Bulk, functional PBE.

Summary:
* energy relative to the elements: -4 meV/atom
* total magnetic moment: 0.0 μB per formula unit
* N(E_F): 6.30 states/eV/cell
* offset from the most stable computed form: 0 meV per atom
* crystal system: orthorhombic

Unit cell a=5.522 b=3.568 c=6.177 alpha=90.00 beta=90.00 gamma=90.00
Atoms (fractional coordinates):
Er (0.250, 0.000, 0.167)
Er (0.750, 0.000, 0.833)
Tm (0.250, 0.500, 0.667)
Tm (0.750, 0.500, 0.333)

Please write out number 1 again, unchanged.
A relaxed structure of ErTm3. Source: Alexandria via LeMat-Bulk, functional PBE.

Summary:
* energy relative to the elements: -5 meV/atom
* total magnetic moment: 0.0 μB per formula unit
* N(E_F): 6.25 states/eV/cell
* offset from the most stable computed form: 0 meV per atom
* crystal system: orthorhombic

Unit cell a=3.563 b=5.515 c=6.169 alpha=90.00 beta=90.00 gamma=90.00
Atoms (fractional coordinates):
Er (0.000, 0.000, 0.000)
Tm (0.000, 0.500, 0.334)
Tm (0.500, 0.000, 0.500)
Tm (0.500, 0.500, 0.834)

- Look up the energy relative to the elements of the second one.
  268 meV/atom

- energy relative to the elements of number 11 (ErTm2)?
  27 meV/atom